The following is a DFT calculation (PBE) of a geometry-optimized KRb2NaHg structure.

```
KRb2NaHg
1.0
-2.7828 3.2114 8.4790
2.7828 -3.2114 8.4790
2.7828 3.2114 -8.4790
K Rb Na Hg
1 2 1 1
direct
0.0000 0.0000 0.0000
0.2613 0.2613 0.0000
0.5248 0.5248 0.0000
0.7762 0.7762 0.0000
0.8754 0.3754 0.5000
```

Results
* crystal system: orthorhombic
* ΔE to the lowest computed polymorph: 12.9 meV per atom
* D(E_F): 3.55 states/eV per cell

=====

The following is a DFT calculation (PBE) of a geometry-optimized KRb2NaHg structure.

```
KRb2NaHg
1.0
7.0826 0.0000 0.0000
0.0000 7.0826 0.0000
0.0000 0.0000 6.2079
K Rb Na Hg
1 2 1 1
direct
0.0000 0.0000 0.0000
0.0000 0.5000 0.5000
0.5000 0.0000 0.5000
0.5000 0.5000 0.0000
0.5000 0.5000 0.5000
```

Results
* crystal system: tetragonal
* ΔE to the lowest computed polymorph: 0.0 meV per atom
* D(E_F): 3.85 states/eV per cell

=====

The following is a DFT calculation (PBE) of a geometry-optimized K2Rb3Na2Hg4 structure.

```
K2Rb3Na2Hg4
1.0
6.3015 0.0000 0.0000
-3.1508 5.4573 0.0000
0.0000 0.0000 13.7408
K Rb Na Hg
2 3 2 4
direct
0.3333 0.6667 0.1377
0.6667 0.3333 0.8623
0.0000 0.0000 0.0000
0.0000 0.0000 0.3283
0.0000 0.0000 0.6717
0.3333 0.6667 0.6166
0.6667 0.3333 0.3834
0.3333 0.6667 0.3922
0.3333 0.6667 0.8575
0.6667 0.3333 0.1425
0.6667 0.3333 0.6078
```

Results
* crystal system: trigonal
* D(E_F): 4.33 states/eV per cell

=====

The following is a DFT calculation (PBE) of a geometry-optimized K5Rb2NaHg structure.

```
K5Rb2NaHg
1.0
-4.7202 4.7202 6.5460
4.7202 -4.7202 6.5460
4.7202 4.7202 -6.5460
K Rb Na Hg
5 2 1 1
direct
0.0000 0.0000 0.0000
0.4962 0.4962 0.5176
0.4962 0.9786 0.0000
0.9786 0.4962 0.0000
0.9786 0.9786 0.4824
0.4842 0.9842 0.5000
0.9842 0.4842 0.5000
0.5101 0.5101 0.0000
0.2738 0.2738 0.0000
```

Results
* crystal system: tetragonal
* D(E_F): 4.76 states/eV per cell

=====

The following is a DFT calculation (PBE) of a geometry-optimized KRbNa4Hg2 structure.

```
KRbNa4Hg2
1.0
4.8837 0.0000 0.0000
0.0000 4.8837 0.0000
0.0000 0.0000 14.4148
K Rb Na Hg
1 1 4 2
direct
0.0000 0.0000 0.0000
0.0000 0.0000 0.5000
0.0000 0.5000 0.2468
0.0000 0.5000 0.7532
0.5000 0.0000 0.2468
0.5000 0.0000 0.7532
0.5000 0.5000 0.1032
0.5000 0.5000 0.8968
```

Results
* crystal system: tetragonal
* D(E_F): 2.92 states/eV per cell

=====

The following is a DFT calculation (PBE) of a geometry-optimized KRb2Na2Hg5 structure.

```
KRb2Na2Hg5
1.0
12.5398 0.0000 0.0000
0.0000 12.5398 0.0000
0.0000 0.0000 4.5699
K Rb Na Hg
2 4 4 10
direct
0.0000 0.0000 0.0000
0.5000 0.5000 0.0000
0.1797 0.3203 0.0000
0.3203 0.8203 0.0000
0.6797 0.1797 0.0000
0.8203 0.6797 0.0000
0.1182 0.6182 0.0000
0.3818 0.1182 0.0000
0.6182 0.8818 0.0000
0.8818 0.3818 0.0000
0.0000 0.5000 0.5000
0.0524 0.7909 0.5000
0.2091 0.0524 0.5000
0.2909 0.5524 0.5000
0.4476 0.2909 0.5000
0.5000 0.0000 0.5000
0.5524 0.7091 0.5000
0.7091 0.4476 0.5000
0.7909 0.9476 0.5000
0.9476 0.2091 0.5000
```

Results
* crystal system: tetragonal
* D(E_F): 10.99 states/eV per cell

=====

The following is a DFT calculation (PBE) of a geometry-optimized K2Rb2Na4Hg structure.

```
K2Rb2Na4Hg
1.0
-4.5476 4.5476 5.8045
4.5476 -4.5476 5.8045
4.5476 4.5476 -5.8045
K Rb Na Hg
2 2 4 1
direct
0.2068 0.2068 0.0000
0.7932 0.7932 0.0000
0.2500 0.7500 0.5000
0.7500 0.2500 0.5000
0.2614 0.2614 0.5228
0.2614 0.7386 0.0000
0.7386 0.2614 0.0000
0.7386 0.7386 0.4772
0.5000 0.5000 0.0000
```

Results
* crystal system: tetragonal
* D(E_F): 4.47 states/eV per cell

=====

The following is a DFT calculation (PBE) of a geometry-optimized K12Rb2NaHg3 structure.

```
K12Rb2NaHg3
1.0
6.5876 3.8033 8.0339
-6.5876 3.8033 8.0339
0.0000 -7.6067 8.0339
K Rb Na Hg
12 2 1 3
direct
0.0919 0.7086 0.7086
0.1593 0.1593 0.6074
0.1593 0.6074 0.1593
0.2914 0.2914 0.9081
0.2914 0.9081 0.2914
0.3926 0.8407 0.8407
0.6074 0.1593 0.1593
0.7086 0.0919 0.7086
0.7086 0.7086 0.0919
0.8407 0.3926 0.8407
0.8407 0.8407 0.3926
0.9081 0.2914 0.2914
0.4145 0.4145 0.4145
0.5855 0.5855 0.5855
0.0000 0.0000 0.0000
0.0000 0.0000 0.5000
0.0000 0.5000 0.0000
0.5000 0.0000 0.0000
```

Results
* crystal system: trigonal
* D(E_F): 13.27 states/eV per cell

=====

The following is a DFT calculation (PBE) of a geometry-optimized K2Rb2Na5Hg2 structure.

```
K2Rb2Na5Hg2
1.0
-2.5403 2.5403 20.4907
2.5403 -2.5403 20.4907
2.5403 2.5403 -20.4907
K Rb Na Hg
2 2 5 2
direct
0.1381 0.1381 0.0000
0.8619 0.8619 0.0000
0.2925 0.2925 0.0000
0.7075 0.7075 0.0000
0.0625 0.5625 0.5000
0.4375 0.9375 0.5000
0.5000 0.5000 0.0000
0.5625 0.0625 0.5000
0.9375 0.4375 0.5000
0.3879 0.3879 0.0000
0.6121 0.6121 0.0000
```

Results
* crystal system: tetragonal
* D(E_F): 5.85 states/eV per cell

=====

The following is a DFT calculation (PBE) of a geometry-optimized K9Rb3Na2Hg structure.

```
K9Rb3Na2Hg
1.0
10.1698 0.0000 0.0000
-5.0849 8.8073 0.0000
0.0000 0.0000 12.2371
K Rb Na Hg
9 3 2 1
direct
0.0000 0.5000 0.0000
0.1571 0.3142 0.3376
0.1571 0.8429 0.3376
0.3142 0.1571 0.6624
0.5000 0.0000 0.0000
0.5000 0.5000 0.0000
0.6858 0.8429 0.3376
0.8429 0.1571 0.6624
0.8429 0.6858 0.6624
0.0000 0.0000 0.0000
0.3333 0.6667 0.6602
0.6667 0.3333 0.3398
0.3333 0.6667 0.1828
0.6667 0.3333 0.8172
0.0000 0.0000 0.5000
```

Results
* crystal system: trigonal
* D(E_F): 9.81 states/eV per cell

=====

The following is a DFT calculation (PBE) of a geometry-optimized K4Rb2NaHg structure.

```
K4Rb2NaHg
1.0
8.2127 0.0000 0.0000
0.0000 4.8720 0.0000
-2.7962 0.0000 12.9133
K Rb Na Hg
4 2 1 1
direct
0.2080 0.0000 0.1868
0.2498 0.5000 0.7991
0.7502 0.5000 0.2009
0.7920 0.0000 0.8132
0.0000 0.0000 0.5000
0.5000 0.5000 0.5000
0.5000 0.0000 0.0000
0.0000 0.5000 0.0000
```

Results
* crystal system: monoclinic
* D(E_F): 5.83 states/eV per cell

=====

The following is a DFT calculation (PBE) of a geometry-optimized K2RbNa5Hg2 structure.

```
K2RbNa5Hg2
1.0
12.9248 0.0000 0.0000
0.0000 12.9248 0.0000
0.0000 0.0000 5.0275
K Rb Na Hg
4 2 10 4
direct
0.1715 0.3285 0.0000
0.3285 0.8285 0.0000
0.6715 0.1715 0.0000
0.8285 0.6715 0.0000
0.0000 0.0000 0.0000
0.5000 0.5000 0.0000
0.0000 0.5000 0.5000
0.0748 0.7664 0.5000
0.2336 0.0748 0.5000
0.2664 0.5748 0.5000
0.4252 0.2664 0.5000
0.5000 0.0000 0.5000
0.5748 0.7336 0.5000
0.7336 0.4252 0.5000
0.7664 0.9252 0.5000
0.9252 0.2336 0.5000
0.1197 0.6197 0.0000
0.3803 0.1197 0.0000
0.6197 0.8803 0.0000
0.8803 0.3803 0.0000
```

Results
* crystal system: tetragonal
* D(E_F): 9.05 states/eV per cell

=====

| no. | ΔH_f (0 K) (meV/atom) | total moment (Bohr magnetons per cell) | total energy (eV/atom) |
| --- | --- | --- | --- |
| 1 | -37 | 0.0 | -0.97 |
| 2 | -50 | 0.0 | -0.98 |
| 3 | -128 | 0.0 | -0.94 |
| 4 | -33 | 0.0 | -1.04 |
| 5 | -98 | 0.0 | -1.09 |
| 6 | -189 | 0.0 | -0.91 |
| 7 | -20 | 0.0 | -1.10 |
| 8 | -12 | 0.0 | -0.97 |
| 9 | -74 | 0.0 | -1.10 |
| 10 | 28 | 0.0 | -1.02 |
| 11 | -11 | 0.0 | -1.00 |
| 12 | -102 | 0.0 | -1.14 |